[1]
The following is a PBE calculation of a geometry-optimized RbHfI2O structure, from Alexandria via LeMat-Bulk.

formation energy from raw total energies: -34.31 kcal/mol of atoms
E above lowest polymorph: 0.0000 eV/atom

Lattice parameters (Å, degrees): 6.127 6.127 4.037 90.00 90.00 90.00
Each line ends with the local moment (μB).
Element x y z (fractional)
I: 0.500 0.000 0.000  0.00
I: 0.000 0.500 0.000  0.00
O: 0.000 0.000 0.500  -0.01
Hf: 0.000 0.000 0.000  0.16
Rb: 0.500 0.500 0.500  0.00

***

[2]
The following is a PBE calculation of a geometry-optimized HfRe2IO structure, from Alexandria via LeMat-Bulk.

formation energy from raw total energies: 63.52 kcal/mol of atoms

Lattice parameters (Å, degrees): 4.779 5.304 4.779 90.00 90.00 90.00
Each line ends with the local moment (μB).
Element x y z (fractional)
I: 0.000 0.000 0.000  -0.02
O: 0.500 0.500 0.500  0.68
Hf: 0.000 0.500 0.000  -0.18
Re: 0.500 0.000 0.000  0.45
Re: 0.000 0.000 0.500  0.24

***

[3]
The following is a PBE calculation of a geometry-optimized HfReIO2 structure, from Alexandria via LeMat-Bulk.

formation energy from raw total energies: -1.18 kcal/mol of atoms
E above lowest polymorph: 0.4884 eV/atom

Lattice parameters (Å, degrees): 3.871 3.871 6.443 90.00 90.00 90.00
Each line ends with the local moment (μB).
Element x y z (fractional)
Re: 0.000 0.000 0.000  0.00
I: 0.000 0.000 0.500  0.01
Hf: 0.500 0.500 0.500  0.22
O: 0.000 0.500 0.000  0.01
O: 0.500 0.000 0.000  0.01

***

D(E_F): 2.2, 5.4, 3.0 (states/eV per cell)
M_tot: 0.050, 0.248, 0.074 (μB per atom)
E: -5.284, -5.517, -6.825 (eV per atom)